First-principles (PBE) data for an optimized crystal structure of AgPbBr2, as listed in the Alexandria database.

Cell lengths 3.822, 3.822, 7.302 Å; angles 90.00, 90.00, 90.00 degrees
Sites, in units of the cell vectors:
Ag1 0.000 0.000 0.000
Pb1 0.000 0.000 0.500
Br1 0.500 0.500 0.240
Br2 0.500 0.500 0.760

Calculated values
The value obtained for the energy relative to the elements, uncorrected is -0.18 eV/atom. The total magnetic moment is 0.0 μB/cell.


First-principles (PBE) data for an optimized crystal structure of Ag2PbBr, as listed in the Alexandria database.

Cell lengths 3.559, 3.559, 8.523 Å; angles 90.00, 90.00, 112.94 degrees
Sites, in units of the cell vectors:
Ag1 0.000 0.000 0.240
Ag2 0.000 0.000 0.760
Pb1 0.500 0.500 0.500
Br1 0.500 0.500 0.000

Calculated values
The value obtained for the energy relative to the elements, uncorrected is 0.04 eV/atom. The total magnetic moment is 0.0 μB/cell.


First-principles (PBE) data for an optimized crystal structure of AgPbBr2, as listed in the Alexandria database.

Cell lengths 3.873, 4.648, 6.411 Å; angles 90.00, 90.00, 90.00 degrees
Sites, in units of the cell vectors:
Ag1 0.000 0.000 0.000
Pb1 0.500 0.000 0.500
Br1 0.000 0.500 0.500
Br2 0.500 0.500 0.000

Calculated values
The value obtained for the energy relative to the elements, uncorrected is -0.18 eV/atom. The total magnetic moment is 0.0 μB/cell.


First-principles (PBE) data for an optimized crystal structure of AgPbBr2, as listed in the Alexandria database.

Cell lengths 5.346, 5.346, 5.346 Å; angles 60.00, 60.00, 60.00 degrees
Sites, in units of the cell vectors:
Ag1 0.000 0.000 0.000
Pb1 0.750 0.750 0.750
Br1 0.250 0.250 0.250
Br2 0.500 0.500 0.500

Calculated values
The value obtained for the energy relative to the elements, uncorrected is -0.02 eV/atom. The total magnetic moment is 0.0 μB/cell.


First-principles (PBE) data for an optimized crystal structure of Ag3Pb5Br12, as listed in the Alexandria database.

Cell lengths 15.581, 15.581, 15.581 Å; angles 109.47, 109.47, 109.47 degrees
Sites, in units of the cell vectors:
Ag1 0.125 0.250 0.375
Ag2 0.125 0.375 0.750
Ag3 0.250 0.375 0.125
Ag4 0.250 0.875 0.625
Ag5 0.375 0.125 0.250
Ag6 0.375 0.750 0.125
Ag7 0.625 0.250 0.875
Ag8 0.625 0.875 0.750
Ag9 0.750 0.125 0.375
Ag10 0.750 0.625 0.875
Ag11 0.875 0.625 0.250
Ag12 0.875 0.750 0.625
Pb1 0.000 0.000 0.000
Pb2 0.000 0.000 0.500
Pb3 0.000 0.500 0.000
Pb4 0.000 0.500 0.500
Pb5 0.125 0.750 0.875
Pb6 0.125 0.875 0.250
Pb7 0.250 0.125 0.875
Pb8 0.250 0.625 0.375
Pb9 0.375 0.250 0.625
Pb10 0.375 0.625 0.750
Pb11 0.500 0.000 0.000
Pb12 0.500 0.000 0.500
Pb13 0.500 0.500 0.000
Pb14 0.500 0.500 0.500
Pb15 0.625 0.375 0.250
Pb16 0.625 0.750 0.375
Pb17 0.750 0.375 0.625
Pb18 0.750 0.875 0.125
Pb19 0.875 0.125 0.750
Pb20 0.875 0.250 0.125
Br1 0.054 0.228 0.121
Br2 0.054 0.326 0.933
Br3 0.067 0.621 0.392
Br4 0.067 0.946 0.674
Br5 0.108 0.728 0.674
Br6 0.108 0.879 0.433
Br7 0.121 0.054 0.228
Br8 0.121 0.567 0.892
Br9 0.174 0.228 0.608
Br10 0.174 0.446 0.567
Br11 0.228 0.121 0.054
Br12 0.228 0.608 0.174
Br13 0.272 0.326 0.892
Br14 0.272 0.446 0.379
Br15 0.326 0.892 0.272
Br16 0.326 0.933 0.054
Br17 0.379 0.272 0.446
Br18 0.379 0.608 0.933
Br19 0.392 0.067 0.621
Br20 0.392 0.826 0.772
Br21 0.433 0.108 0.879
Br22 0.433 0.826 0.554
Br23 0.446 0.379 0.272
Br24 0.446 0.567 0.174
Br25 0.554 0.433 0.826
Br26 0.554 0.621 0.728
Br27 0.567 0.174 0.446
Br28 0.567 0.892 0.121
Br29 0.608 0.174 0.228
Br30 0.608 0.933 0.379
Br31 0.621 0.392 0.067
Br32 0.621 0.728 0.554
Br33 0.674 0.067 0.946
Br34 0.674 0.108 0.728
Br35 0.728 0.554 0.621
Br36 0.728 0.674 0.108
Br37 0.772 0.392 0.826
Br38 0.772 0.879 0.946
Br39 0.826 0.554 0.433
Br40 0.826 0.772 0.392
Br41 0.879 0.433 0.108
Br42 0.879 0.946 0.772
Br43 0.892 0.121 0.567
Br44 0.892 0.272 0.326
Br45 0.933 0.054 0.326
Br46 0.933 0.379 0.608
Br47 0.946 0.674 0.067
Br48 0.946 0.772 0.879

Calculated values
The value obtained for the energy relative to the elements, uncorrected is -0.51 eV/atom. The total magnetic moment is 0.0 μB/cell.


First-principles (PBE) data for an optimized crystal structure of Ag2PbBr, as listed in the Alexandria database.

Cell lengths 6.269, 6.269, 6.269 Å; angles 140.54, 140.54, 57.04 degrees
Sites, in units of the cell vectors:
Ag1 0.000 0.000 0.000
Ag2 0.750 0.250 0.500
Pb1 0.500 0.500 0.000
Br1 0.250 0.750 0.500

Calculated values
The value obtained for the energy relative to the elements, uncorrected is 0.09 eV/atom. The total magnetic moment is 0.0 μB/cell.


First-principles (PBE) data for an optimized crystal structure of Ag2PbBr, as listed in the Alexandria database.

Cell lengths 7.633, 7.633, 7.633 Å; angles 151.94, 149.11, 42.21 degrees
Sites, in units of the cell vectors:
Ag1 0.000 0.000 0.000
Ag2 0.633 0.133 0.500
Pb1 0.419 0.419 0.000
Br1 0.222 0.722 0.500

Calculated values
The value obtained for the energy relative to the elements, uncorrected is 0.00 eV/atom. The total magnetic moment is 0.0 μB/cell.


First-principles (PBE) data for an optimized crystal structure of Ag3Pb2Br7, as listed in the Alexandria database.

Cell lengths 13.980, 13.980, 7.493 Å; angles 90.00, 90.00, 31.98 degrees
Sites, in units of the cell vectors:
Ag1 0.095 0.494 0.437
Ag2 0.232 0.768 0.500
Ag3 0.494 0.095 0.937
Ag4 0.506 0.905 0.437
Ag5 0.768 0.232 0.000
Ag6 0.905 0.506 0.937
Pb1 0.135 0.656 0.984
Pb2 0.344 0.865 0.984
Pb3 0.656 0.135 0.484
Pb4 0.865 0.344 0.484
Br1 0.054 0.243 0.148
Br2 0.107 0.893 0.838
Br3 0.156 0.427 0.079
Br4 0.243 0.054 0.648
Br5 0.331 0.518 0.338
Br6 0.427 0.156 0.579
Br7 0.482 0.669 0.338
Br8 0.518 0.331 0.838
Br9 0.573 0.844 0.079
Br10 0.669 0.482 0.838
Br11 0.757 0.946 0.148
Br12 0.844 0.573 0.579
Br13 0.893 0.107 0.338
Br14 0.946 0.757 0.648

Calculated values
The value obtained for the energy relative to the elements, uncorrected is -0.60 eV/atom. The total magnetic moment is 0.0 μB/cell.


First-principles (PBE) data for an optimized crystal structure of AgPbBr2, as listed in the Alexandria database.

Cell lengths 3.801, 3.801, 8.873 Å; angles 90.00, 90.00, 117.09 degrees
Sites, in units of the cell vectors:
Ag1 0.000 0.000 0.000
Pb1 0.000 0.000 0.500
Br1 0.500 0.500 0.216
Br2 0.500 0.500 0.784

Calculated values
The value obtained for the energy relative to the elements, uncorrected is -0.31 eV/atom. The total magnetic moment is 0.0 μB/cell.


First-principles (PBE) data for an optimized crystal structure of Ag3PbBr6, as listed in the Alexandria database.

Cell lengths 8.598, 8.598, 4.488 Å; angles 90.00, 90.00, 109.97 degrees
Sites, in units of the cell vectors:
Ag1 0.000 0.000 0.000
Ag2 0.000 0.500 0.500
Ag3 0.500 0.000 0.500
Pb1 0.500 0.500 0.000
Br1 0.071 0.323 0.000
Br2 0.323 0.071 0.000
Br3 0.349 0.651 0.500
Br4 0.651 0.349 0.500
Br5 0.677 0.929 0.000
Br6 0.929 0.677 0.000

Calculated values
The value obtained for the energy relative to the elements, uncorrected is -0.44 eV/atom. The total magnetic moment is 0.0 μB/cell.


First-principles (PBE) data for an optimized crystal structure of Ag2PbBr, as listed in the Alexandria database.

Cell lengths 5.323, 5.323, 3.381 Å; angles 90.00, 90.00, 90.00 degrees
Sites, in units of the cell vectors:
Ag1 0.000 0.500 0.000
Ag2 0.500 0.000 0.000
Pb1 0.000 0.000 0.500
Br1 0.500 0.500 0.500

Calculated values
The value obtained for the energy relative to the elements, uncorrected is 0.17 eV/atom. The total magnetic moment is 0.0 μB/cell.


First-principles (PBE) data for an optimized crystal structure of Ag3Pb6Br14, as listed in the Alexandria database.

Cell lengths 11.041, 11.041, 7.044 Å; angles 90.00, 90.00, 120.00 degrees
Sites, in units of the cell vectors:
Ag1 0.000 0.000 0.000
Ag2 0.333 0.667 0.521
Ag3 0.667 0.333 0.101
Pb1 0.050 0.455 0.955
Pb2 0.302 0.193 0.458
Pb3 0.404 0.950 0.955
Pb4 0.545 0.596 0.955
Pb5 0.807 0.108 0.458
Pb6 0.892 0.698 0.458
Br1 0.000 0.000 0.624
Br2 0.096 0.250 0.186
Br3 0.154 0.904 0.186
Br4 0.169 0.756 0.685
Br5 0.244 0.414 0.685
Br6 0.333 0.667 0.142
Br7 0.420 0.222 0.854
Br8 0.528 0.089 0.344
Br9 0.561 0.472 0.344
Br10 0.586 0.831 0.685
Br11 0.750 0.846 0.186
Br12 0.778 0.198 0.854
Br13 0.802 0.580 0.854
Br14 0.911 0.439 0.344

Calculated values
The value obtained for the energy relative to the elements, uncorrected is -0.67 eV/atom. The total magnetic moment is 0.0 μB/cell.


Number 1: ρ 7.39 g/cm3. Number 2: ρ 8.40 g/cm3. Number 3: ρ 6.83 g/cm3. Number 4: ρ 7.30 g/cm3. Number 5: ρ 5.29 g/cm3. Number 6: ρ 8.46 g/cm3. Number 7: ρ 7.80 g/cm3. Number 8: ρ 5.55 g/cm3. Number 9: ρ 6.91 g/cm3. Number 10: ρ 5.38 g/cm3. Number 11: ρ 8.72 g/cm3. Number 12: ρ 6.00 g/cm3.